Density functional theory data (PBE-GGA) for a relaxed PrEr4Al5 crystal.

Structure (POSCAR):
```
PrEr4Al5
1.0
3.602 0.000 0.000
0.000 3.602 0.000
0.000 0.000 18.058
Al Er Pr
5 4 1
Direct
0.500 0.500 0.112
0.500 0.500 0.500
0.500 0.500 0.695
0.500 0.500 0.888
0.500 0.500 0.305
0.000 0.000 0.208
0.000 0.000 0.792
0.000 0.000 0.403
0.000 0.000 0.597
0.000 0.000 0.000
```

Output
Energy of formation   -0.3824 eV/atom
SG   P4/mmm
Final energy   -4.557 eV/atom